Run A
First-principles (PBE-GGA) data for a geometry-optimized HfNb3Pb structure, as listed in Alexandria.

a b c (Å): 5.0967 5.0967 5.0967
angles (deg): 90.00 90.00 90.00
Space group Pm-3m (No. 221)
Symmetry-distinct sites (fractional):
Hf: 0.0000 0.0000 0.0000 x1
Nb: 0.0000 0.5000 0.5000 x3
Pb: 0.5000 0.5000 0.5000 x1

Values from the calculation:
Magnetic moment (μB/atom): 0.000
DOS(E_F) (states/eV/cell): 7.63

***

Run B
First-principles (PBE-GGA) data for a geometry-optimized HfNb3Pb structure, as listed in Alexandria.

a b c (Å): 4.9653 4.9653 4.9653
angles (deg): 90.00 90.00 90.00
Space group Pm-3m (No. 221)
Symmetry-distinct sites (fractional):
Hf: 0.0000 0.0000 0.0000 x1
Nb: 0.0000 0.0000 0.5000 x3
Pb: 0.5000 0.5000 0.5000 x1

Values from the calculation:
Magnetic moment (μB/atom): 0.000
DOS(E_F) (states/eV/cell): 4.21

***

It is run A that is the least stable of them.

***

Run A
First-principles (PBE-GGA) data for a geometry-optimized HfNb2Pd2 structure, as listed in Alexandria.

a b c (Å): 7.9525 7.9525 2.8750
angles (deg): 90.00 90.00 90.00
Space group P4/mbm (No. 127)
Symmetry-distinct sites (fractional):
Hf: 0.0000 0.0000 0.0000 x2
Nb: 0.1676 0.3324 0.0000 x4
Pd: 0.1280 0.6280 0.5000 x4

Values from the calculation:
Magnetic moment (μB/atom): 0.000
DOS(E_F) (states/eV/cell): 8.73

***

Run B
First-principles (PBE-GGA) data for a geometry-optimized HfNb2Pd2 structure, as listed in Alexandria.

a b c (Å): 7.7226 7.7226 3.0339
angles (deg): 90.00 90.00 90.00
Space group P4/mbm (No. 127)
Symmetry-distinct sites (fractional):
Hf: 0.0000 0.0000 0.0000 x2
Nb: 0.1755 0.3245 0.5000 x4
Pd: 0.1236 0.6236 0.0000 x4

Values from the calculation:
Magnetic moment (μB/atom): 0.000
DOS(E_F) (states/eV/cell): 12.59

***

It is run A that is the least stable of them.

***

Run A
First-principles (PBE-GGA) data for a geometry-optimized Hf2NbPd2 structure, as listed in Alexandria.

a b c (Å): 4.8487 4.8487 8.8500
angles (deg): 90.00 90.00 90.00
Space group I4/mmm (No. 139)
Symmetry-distinct sites (fractional):
Hf: 0.0000 0.5000 0.2500 x4
Nb: 0.0000 0.0000 0.0000 x2
Pd: 0.0000 0.0000 0.3628 x4

Values from the calculation:
Magnetic moment (μB/atom): 0.529
DOS(E_F) (states/eV/cell): 5.22

***

Run B
First-principles (PBE-GGA) data for a geometry-optimized Hf2NbPd2 structure, as listed in Alexandria.

a b c (Å): 7.6817 7.6817 3.1845
angles (deg): 90.00 90.00 90.00
Space group P4/mbm (No. 127)
Symmetry-distinct sites (fractional):
Hf: 0.1725 0.3275 0.0000 x4
Nb: 0.0000 0.0000 0.5000 x2
Pd: 0.1271 0.6271 0.5000 x4

Values from the calculation:
Magnetic moment (μB/atom): 0.106
DOS(E_F) (states/eV/cell): 6.28

***

Run C
First-principles (PBE-GGA) data for a geometry-optimized Hf2NbPd2 structure, as listed in Alexandria.

a b c (Å): 7.7170 7.7170 3.1536
angles (deg): 90.00 90.00 90.00
Space group P4/mbm (No. 127)
Symmetry-distinct sites (fractional):
Hf: 0.1625 0.3375 0.0000 x4
Nb: 0.0000 0.0000 0.0000 x2
Pd: 0.1362 0.6362 0.5000 x4

Values from the calculation:
Magnetic moment (μB/atom): 0.000
DOS(E_F) (states/eV/cell): 7.86

***

It is run A that is the least stable of them.

***

Run A
First-principles (PBE-GGA) data for a geometry-optimized Hf3NbPd structure, as listed in Alexandria.

a b c (Å): 4.9568 4.9568 4.9568
angles (deg): 90.00 90.00 90.00
Space group Pm-3m (No. 221)
Symmetry-distinct sites (fractional):
Hf: 0.0000 0.0000 0.5000 x3
Nb: 0.5000 0.5000 0.5000 x1
Pd: 0.0000 0.0000 0.0000 x1

Values from the calculation:
Magnetic moment (μB/atom): 0.288
DOS(E_F) (states/eV/cell): 5.80

***

Run B
First-principles (PBE-GGA) data for a geometry-optimized Hf3NbPd structure, as listed in Alexandria.

a b c (Å): 5.0071 5.0071 5.0071
angles (deg): 90.00 90.00 90.00
Space group Pm-3m (No. 221)
Symmetry-distinct sites (fractional):
Hf: 0.0000 0.0000 0.5000 x3
Nb: 0.0000 0.0000 0.0000 x1
Pd: 0.5000 0.5000 0.5000 x1

Values from the calculation:
Magnetic moment (μB/atom): 0.000
DOS(E_F) (states/eV/cell): 9.12

***

It is run B that is the least stable of them.

***

Run A
First-principles (PBE-GGA) data for a geometry-optimized Hf2NbPd structure, as listed in Alexandria.

a b c (Å): 4.6963 4.6963 3.4281
angles (deg): 90.00 90.00 90.00
Space group P4/mmm (No. 123)
Symmetry-distinct sites (fractional):
Hf: 0.0000 0.5000 0.0000 x2
Nb: 0.0000 0.0000 0.5000 x1
Pd: 0.5000 0.5000 0.5000 x1

Values from the calculation:
Magnetic moment (μB/atom): 0.000
DOS(E_F) (states/eV/cell): 4.93

***

Run B
First-principles (PBE-GGA) data for a geometry-optimized Hf2NbPd structure, as listed in Alexandria.

a b c (Å): 6.6946 6.6946 6.6946
angles (deg): 90.00 90.00 90.00
Space group Fm-3m (No. 225)
Symmetry-distinct sites (fractional):
Hf: 0.2500 0.2500 0.2500 x8
Nb: 0.0000 0.0000 0.0000 x4
Pd: 0.0000 0.0000 0.5000 x4

Values from the calculation:
Magnetic moment (μB/atom): 0.000
DOS(E_F) (states/eV/cell): 21.76

***

Run C
First-principles (PBE-GGA) data for a geometry-optimized Hf2NbPd structure, as listed in Alexandria.

a b c (Å): 4.1140 4.1140 19.4298
angles (deg): 90.00 90.00 90.00
Space group I-42d (No. 122)
Symmetry-distinct sites (fractional):
Hf: 0.2481 0.2500 0.1250 x8
Nb: 0.0000 0.0000 0.0000 x4
Pd: 0.0000 0.0000 0.5000 x4

Values from the calculation:
Magnetic moment (μB/atom): 0.000
DOS(E_F) (states/eV/cell): 23.37

***

Run D
First-principles (PBE-GGA) data for a geometry-optimized Hf2NbPd structure, as listed in Alexandria.

a b c (Å): 3.3499 3.3499 6.7992
angles (deg): 90.00 90.00 90.00
Space group P4/mmm (No. 123)
Symmetry-distinct sites (fractional):
Hf: 0.0000 0.0000 0.2492 x2
Nb: 0.5000 0.5000 0.5000 x1
Pd: 0.5000 0.5000 0.0000 x1

Values from the calculation:
Magnetic moment (μB/atom): 0.000
DOS(E_F) (states/eV/cell): 3.13

***

It is run C that is the least stable of them.

***

Run A
First-principles (PBE-GGA) data for a geometry-optimized HfTiNb2Pd structure, as listed in Alexandria.

a b c (Å): 4.8779 4.8779 4.7665
angles (deg): 90.00 90.00 90.00
Space group P4/mmm (No. 123)
Symmetry-distinct sites (fractional):
Hf: 0.0000 0.0000 0.0000 x1
Ti: 0.0000 0.0000 0.5000 x1
Nb: 0.0000 0.5000 0.0000 x2
Pd: 0.5000 0.5000 0.5000 x1

Values from the calculation:
Magnetic moment (μB/atom): 0.169
DOS(E_F) (states/eV/cell): 10.51

***

Run B
First-principles (PBE-GGA) data for a geometry-optimized HfTiNb2Pd structure, as listed in Alexandria.

a b c (Å): 4.8825 4.8825 4.8890
angles (deg): 90.00 90.00 90.00
Space group P4/mmm (No. 123)
Symmetry-distinct sites (fractional):
Hf: 0.0000 0.0000 0.0000 x1
Ti: 0.5000 0.5000 0.0000 x1
Nb: 0.0000 0.5000 0.5000 x2
Pd: 0.0000 0.0000 0.5000 x1

Values from the calculation:
Magnetic moment (μB/atom): 0.000
DOS(E_F) (states/eV/cell): 9.88

***

It is run A that is the least stable of them.

***

Run A
First-principles (PBE-GGA) data for a geometry-optimized HfZrNbPd structure, as listed in Alexandria.

a b c (Å): 3.3647 3.3647 6.8331
angles (deg): 90.00 90.00 90.00
Space group P4mm (No. 99)
Symmetry-distinct sites (fractional):
Hf: 0.0000 0.0000 0.0000 x1
Zr: 0.0000 0.0000 0.4987 x1
Nb: 0.5000 0.5000 0.7511 x1
Pd: 0.5000 0.5000 0.2431 x1

Values from the calculation:
Magnetic moment (μB/atom): 0.000
DOS(E_F) (states/eV/cell): 3.07

***

Run B
First-principles (PBE-GGA) data for a geometry-optimized HfZrNbPd structure, as listed in Alexandria.

a b c (Å): 6.7183 6.7183 6.7183
angles (deg): 90.00 90.00 90.00
Space group F-43m (No. 216)
Symmetry-distinct sites (fractional):
Hf: 0.0000 0.0000 0.0000 x4
Zr: 0.0000 0.0000 0.5000 x4
Nb: 0.2500 0.2500 0.2500 x4
Pd: 0.2500 0.2500 0.7500 x4

Values from the calculation:
Magnetic moment (μB/atom): 0.000
DOS(E_F) (states/eV/cell): 14.59

***

It is run B that is the least stable of them.

***

Run A
First-principles (PBE-GGA) data for a geometry-optimized Hf2NbPt structure, as listed in Alexandria.

a b c (Å): 4.6587 4.6587 3.4555
angles (deg): 90.00 90.00 90.00
Space group P4/mmm (No. 123)
Symmetry-distinct sites (fractional):
Hf: 0.0000 0.5000 0.0000 x2
Nb: 0.0000 0.0000 0.5000 x1
Pt: 0.5000 0.5000 0.5000 x1

Values from the calculation:
Magnetic moment (μB/atom): 0.000
DOS(E_F) (states/eV/cell): 4.36

***

Run B
First-principles (PBE-GGA) data for a geometry-optimized Hf2NbPt structure, as listed in Alexandria.

a b c (Å): 3.3643 3.3643 6.7021
angles (deg): 90.00 90.00 90.00
Space group P4/mmm (No. 123)
Symmetry-distinct sites (fractional):
Hf: 0.0000 0.0000 0.2465 x2
Nb: 0.5000 0.5000 0.5000 x1
Pt: 0.5000 0.5000 0.0000 x1

Values from the calculation:
Magnetic moment (μB/atom): 0.000
DOS(E_F) (states/eV/cell): 3.02

***

It is run A that is the least stable of them.

***

Run A
First-principles (PBE-GGA) data for a geometry-optimized Hf2NbPt structure, as listed in Alexandria.

a b c (Å): 4.0975 4.0975 19.5144
angles (deg): 90.00 90.00 90.00
Space group I-42d (No. 122)
Symmetry-distinct sites (fractional):
Hf: 0.2501 0.2500 0.1250 x8
Nb: 0.0000 0.0000 0.0000 x4
Pt: 0.0000 0.0000 0.5000 x4

Values from the calculation:
Magnetic moment (μB/atom): 0.000
DOS(E_F) (states/eV/cell): 29.38

***

Run B
First-principles (PBE-GGA) data for a geometry-optimized Hf2NbPt structure, as listed in Alexandria.

a b c (Å): 6.6722 6.6722 6.6722
angles (deg): 90.00 90.00 90.00
Space group Fm-3m (No. 225)
Symmetry-distinct sites (fractional):
Hf: 0.2500 0.2500 0.2500 x8
Nb: 0.0000 0.0000 0.0000 x4
Pt: 0.0000 0.0000 0.5000 x4

Values from the calculation:
Magnetic moment (μB/atom): 0.000
DOS(E_F) (states/eV/cell): 22.07

***

It is run A that is the least stable of them.

***

Run A
First-principles (PBE-GGA) data for a geometry-optimized Hf2Nb2Pt structure, as listed in Alexandria.

a b c (Å): 3.9540 3.9540 13.3633
angles (deg): 90.00 90.00 90.00
Space group I4/mmm (No. 139)
Symmetry-distinct sites (fractional):
Hf: 0.0000 0.5000 0.2500 x4
Nb: 0.0000 0.0000 0.0876 x4
Pt: 0.0000 0.0000 0.5000 x2

Values from the calculation:
Magnetic moment (μB/atom): 0.000
DOS(E_F) (states/eV/cell): 14.47

***

Run B
First-principles (PBE-GGA) data for a geometry-optimized Hf2Nb2Pt structure, as listed in Alexandria.

a b c (Å): 3.6363 3.6363 15.7341
angles (deg): 90.00 90.00 90.00
Space group I4/mmm (No. 139)
Symmetry-distinct sites (fractional):
Hf: 0.0000 0.0000 0.0936 x4
Nb: 0.0000 0.5000 0.2500 x4
Pt: 0.0000 0.0000 0.5000 x2

Values from the calculation:
Magnetic moment (μB/atom): 0.000
DOS(E_F) (states/eV/cell): 6.87

***

Run C
First-principles (PBE-GGA) data for a geometry-optimized Hf2Nb2Pt structure, as listed in Alexandria.

a b c (Å): 6.8981 6.8981 4.2178
angles (deg): 90.00 90.00 90.00
Space group P4/mbm (No. 127)
Symmetry-distinct sites (fractional):
Hf: 0.1681 0.3319 0.0000 x4
Nb: 0.1376 0.6376 0.5000 x4
Pt: 0.0000 0.0000 0.5000 x2

Values from the calculation:
Magnetic moment (μB/atom): 0.000
DOS(E_F) (states/eV/cell): 5.76

***

It is run A that is the least stable of them.

***

Run A
First-principles (PBE-GGA) data for a geometry-optimized HfNb2Pt2 structure, as listed in Alexandria.

a b c (Å): 7.0659 7.0659 3.7062
angles (deg): 90.00 90.00 90.00
Space group P4/mbm (No. 127)
Symmetry-distinct sites (fractional):
Hf: 0.0000 0.0000 0.0000 x2
Nb: 0.1714 0.3286 0.5000 x4
Pt: 0.1317 0.6317 0.0000 x4

Values from the calculation:
Magnetic moment (μB/atom): 0.000
DOS(E_F) (states/eV/cell): 11.70

***

Run B
First-principles (PBE-GGA) data for a geometry-optimized HfNb2Pt2 structure, as listed in Alexandria.

a b c (Å): 8.0238 8.0238 2.8212
angles (deg): 90.00 90.00 90.00
Space group P4/mbm (No. 127)
Symmetry-distinct sites (fractional):
Hf: 0.0000 0.0000 0.0000 x2
Nb: 0.1213 0.3787 0.0000 x4
Pt: 0.1751 0.6751 0.5000 x4

Values from the calculation:
Magnetic moment (μB/atom): 0.000
DOS(E_F) (states/eV/cell): 11.33

***

It is run B that is the least stable of them.